Here is CsAcWO5 after structural relaxation from Alexandria. Energies are from PBE+U.

a b c (Å): 6.9935 6.9935 8.7625
angles (deg): 104.76 104.76 106.29
Closest atoms and distances in Å follow each position.
Fractional coordinates of all 16 atoms:
1 Cs 0.1768 0.8232 0.7500  1 O 2.84
2 Cs 0.8232 0.1768 0.2500  1 O 2.84
3 Ac 0.5000 0.5000 0.0000  2 O 2.32
4 Ac 0.5000 0.5000 0.5000  2 O 2.32
5 W 0.1862 0.8138 0.2500  4 O 1.82-1.83
6 W 0.8138 0.1862 0.7500  4 O 1.82-1.83
7 O 0.0847 0.2653 0.8915  1 W 1.82
8 O 0.1998 0.6385 0.3719  1 W 1.83
9 O 0.2653 0.0847 0.3915  1 W 1.82
10 O 0.3615 0.8002 0.1281  1 W 1.83
11 O 0.4306 0.5694 0.7500  2 Ac 2.32
12 O 0.5694 0.4306 0.2500  2 Ac 2.32
13 O 0.6385 0.1998 0.8719  1 W 1.83
14 O 0.7347 0.9153 0.6085  1 W 1.82
15 O 0.8002 0.3615 0.6281  1 W 1.83
16 O 0.9153 0.7347 0.1085  1 W 1.82

Summary:
- V (Å³ per cell) = 372.43
- electronic total energy (eV per cell) = -112.53
- Fermi-level density of states (states/eV/f.u.) = 0.0